Run one
First-principles (PBE-GGA) data for a relaxed Tb4Ho3Er crystal, as listed in Alexandria.

Values from the calculation:
Crystal system: orthorhombic
Magnetic moment in μB/cell: 0.0

```
data_Tb4Ho3Er
_chemical_formula_sum 'Tb8 Ho6 Er2'
_cell_length_a 11.201
_cell_length_b 7.233
_cell_length_c 6.255
_cell_angle_alpha 90.00
_cell_angle_beta 90.00
_cell_angle_gamma 90.00
_space_group_name_H-M_alt 'P m n 21'
_space_group_IT_number 31
loop_
_space_group_symop_operation_xyz
'x,y,z'
'-x+1/2,-y,z+1/2'
'-x,y,z'
'x+1/2,-y,z+1/2'
loop_
_atom_site_label
_atom_site_type_symbol
_atom_site_fract_x
_atom_site_fract_y
_atom_site_fract_z
_atom_site_occupancy
Tb1 Tb 0.000 0.126 0.000 1
Tb2 Tb 0.000 0.874 0.500 1
Tb3 Tb 0.250 0.126 0.333 1
Ho1 Ho 0.000 0.376 0.500 1
Ho2 Ho 0.250 0.376 0.833 1
Er1 Er 0.000 0.624 0.000 1
```


Run two
First-principles (PBE-GGA) data for a relaxed Tb4Ho3Er crystal, as listed in Alexandria.

Values from the calculation:
Crystal system: orthorhombic
Magnetic moment in μB/cell: 0.0

```
data_Tb4Ho3Er
_chemical_formula_sum 'Tb8 Ho6 Er2'
_cell_length_a 5.586
_cell_length_b 25.842
_cell_length_c 3.555
_cell_angle_alpha 90.00
_cell_angle_beta 90.00
_cell_angle_gamma 90.00
_space_group_name_H-M_alt 'C m m m'
_space_group_IT_number 65
_space_group_name_Hall '-C 2 2'
loop_
_atom_site_label
_atom_site_type_symbol
_atom_site_fract_x
_atom_site_fract_y
_atom_site_fract_z
_atom_site_occupancy
Tb1 Tb 0.000 0.103 0.000 1
Tb2 Tb 0.000 0.223 0.000 1
Ho1 Ho 0.000 0.346 0.500 1
Ho2 Ho 0.000 0.500 0.000 1
Er1 Er 0.000 0.000 0.500 1
```


Most stable structure - run one; separation to the second - 18.2 kJ/mol of atoms.


Run one
First-principles (PBE-GGA) data for a relaxed Tb2Ho2Er crystal, as listed in Alexandria.

Values from the calculation:
Crystal system: orthorhombic
Magnetic moment in μB/cell: 0.0

```
data_Tb2Ho2Er
_chemical_formula_sum 'Tb8 Ho8 Er4'
_cell_length_a 3.576
_cell_length_b 5.624
_cell_length_c 31.359
_cell_angle_alpha 90.00
_cell_angle_beta 90.00
_cell_angle_gamma 90.00
_space_group_name_H-M_alt 'I m m a'
_space_group_IT_number 74
_space_group_name_Hall '-I 2b 2'
loop_
_atom_site_label
_atom_site_type_symbol
_atom_site_fract_x
_atom_site_fract_y
_atom_site_fract_z
_atom_site_occupancy
Tb1 Tb 0.000 0.250 0.022 1
Tb2 Tb 0.000 0.250 0.121 1
Ho1 Ho 0.000 0.250 0.292 1
Ho2 Ho 0.000 0.250 0.806 1
Er1 Er 0.000 0.250 0.579 1
```


Run two
First-principles (PBE-GGA) data for a relaxed Tb2Ho2Er crystal, as listed in Alexandria.

Values from the calculation:
Crystal system: tetragonal
Magnetic moment in μB/cell: 0.0

```
data_Tb2Ho2Er
_chemical_formula_sum 'Tb4 Ho4 Er2'
_cell_length_a 9.207
_cell_length_b 9.207
_cell_length_c 3.706
_cell_angle_alpha 90.00
_cell_angle_beta 90.00
_cell_angle_gamma 90.00
_space_group_name_H-M_alt 'P 4/m b m'
_space_group_IT_number 127
_space_group_name_Hall '-P 4 2ab'
loop_
_atom_site_label
_atom_site_type_symbol
_atom_site_fract_x
_atom_site_fract_y
_atom_site_fract_z
_atom_site_occupancy
Tb1 Tb 0.128 0.372 0.000 1
Ho1 Ho 0.170 0.670 0.500 1
Er1 Er 0.000 0.000 0.000 1
```


Most stable structure - run two; separation to the second - 4.2 kJ/mol of atoms.


Run one
First-principles (PBE-GGA) data for a relaxed Tb2HoEr crystal, as listed in Alexandria.

Values from the calculation:
Crystal system: tetragonal
Magnetic moment in μB/cell: 0.0

```
data_Tb2HoEr
_chemical_formula_sum 'Tb2 Ho1 Er1'
_cell_length_a 3.530
_cell_length_b 3.530
_cell_length_c 9.981
_cell_angle_alpha 90.00
_cell_angle_beta 90.00
_cell_angle_gamma 90.00
_space_group_name_H-M_alt 'P 4/m m m'
_space_group_IT_number 123
_space_group_name_Hall '-P 4 2'
loop_
_atom_site_label
_atom_site_type_symbol
_atom_site_fract_x
_atom_site_fract_y
_atom_site_fract_z
_atom_site_occupancy
Tb1 Tb 0.000 0.000 0.249 1
Ho1 Ho 0.500 0.500 0.500 1
Er1 Er 0.500 0.500 0.000 1
```


Run two
First-principles (PBE-GGA) data for a relaxed Tb2HoEr crystal, as listed in Alexandria.

Values from the calculation:
Crystal system: trigonal
Magnetic moment in μB/cell: 0.0

```
data_Tb2HoEr
_chemical_formula_sum 'Tb6 Ho3 Er3'
_cell_length_a 3.5574
_cell_length_b 3.5574
_cell_length_c 34.1811
_cell_angle_alpha 90.00
_cell_angle_beta 90.00
_cell_angle_gamma 120.00
_space_group_name_H-M_alt 'R 3 m'
_space_group_IT_number 160
_space_group_name_Hall 'R 3 -2"'
loop_
_atom_site_label
_atom_site_type_symbol
_atom_site_fract_x
_atom_site_fract_y
_atom_site_fract_z
_atom_site_occupancy
Tb1 Tb 0.0000 0.0000 0.0000 1
Tb2 Tb 0.0000 0.0000 0.1663 1
Ho1 Ho 0.0000 0.0000 0.4168 1
Er1 Er 0.0000 0.0000 0.5832 1
```


Run three
First-principles (PBE-GGA) data for a relaxed Tb2HoEr crystal, as listed in Alexandria.

Values from the calculation:
Crystal system: monoclinic
Magnetic moment in μB/cell: 0.0

```
data_Tb2HoEr
_chemical_formula_sum 'Tb8 Ho4 Er4'
_cell_length_a 6.517
_cell_length_b 13.004
_cell_length_c 6.516
_cell_angle_alpha 90.00
_cell_angle_beta 114.91
_cell_angle_gamma 90.00
_space_group_name_H-M_alt 'P 1 21/c 1'
_space_group_IT_number 14
loop_
_space_group_symop_operation_xyz
'x,y,z'
'-x,-y,-z'
'-x,y+1/2,-z+1/2'
'x,-y+1/2,z+1/2'
loop_
_atom_site_label
_atom_site_type_symbol
_atom_site_fract_x
_atom_site_fract_y
_atom_site_fract_z
_atom_site_occupancy
Tb1 Tb 0.125 0.064 0.375 1
Tb2 Tb 0.375 0.564 0.624 1
Ho1 Ho 0.375 0.675 0.125 1
Er1 Er 0.125 0.175 0.875 1
```


Run four
First-principles (PBE-GGA) data for a relaxed Tb2HoEr crystal, as listed in Alexandria.

Values from the calculation:
Crystal system: cubic
Magnetic moment in μB/cell: 0.0

```
data_Tb2HoEr
_chemical_formula_sum 'Tb8 Ho4 Er4'
_cell_length_a 7.968
_cell_length_b 7.968
_cell_length_c 7.968
_cell_angle_alpha 90.00
_cell_angle_beta 90.00
_cell_angle_gamma 90.00
_space_group_name_H-M_alt 'F m -3 m'
_space_group_IT_number 225
_space_group_name_Hall '-F 4 2 3'
loop_
_atom_site_label
_atom_site_type_symbol
_atom_site_fract_x
_atom_site_fract_y
_atom_site_fract_z
_atom_site_occupancy
Tb1 Tb 0.250 0.250 0.250 1
Ho1 Ho 0.000 0.000 0.000 1
Er1 Er 0.000 0.000 0.500 1
```


Most stable structure - run two; separation to the second - 1.0 kJ/mol of atoms.


Run one
First-principles (PBE-GGA) data for a relaxed Tb2HoEr crystal, as listed in Alexandria.

Values from the calculation:
Crystal system: tetragonal
Magnetic moment in μB/cell: 0.0

```
data_Tb2HoEr
_chemical_formula_sum 'Tb2 Ho1 Er1'
_cell_length_a 4.996
_cell_length_b 4.996
_cell_length_c 4.985
_cell_angle_alpha 90.00
_cell_angle_beta 90.00
_cell_angle_gamma 90.00
_space_group_name_H-M_alt 'P 4/m m m'
_space_group_IT_number 123
_space_group_name_Hall '-P 4 2'
loop_
_atom_site_label
_atom_site_type_symbol
_atom_site_fract_x
_atom_site_fract_y
_atom_site_fract_z
_atom_site_occupancy
Tb1 Tb 0.000 0.500 0.000 1
Ho1 Ho 0.000 0.000 0.500 1
Er1 Er 0.500 0.500 0.500 1
```


Run two
First-principles (PBE-GGA) data for a relaxed Tb2HoEr crystal, as listed in Alexandria.

Values from the calculation:
Crystal system: orthorhombic
Magnetic moment in μB/cell: 0.0

```
data_Tb2HoEr
_chemical_formula_sum 'Tb4 Ho2 Er2'
_cell_length_a 5.600
_cell_length_b 7.228
_cell_length_c 6.249
_cell_angle_alpha 90.00
_cell_angle_beta 90.00
_cell_angle_gamma 90.00
_space_group_name_H-M_alt 'P m m n'
_space_group_IT_number 59
loop_
_space_group_symop_operation_xyz
'x,y,z'
'-x,-y,-z'
'-x+1/2,-y+1/2,z'
'x+1/2,y+1/2,-z'
'x+1/2,-y,-z'
'-x+1/2,y,z'
'-x,y+1/2,-z'
'x,-y+1/2,z'
loop_
_atom_site_label
_atom_site_type_symbol
_atom_site_fract_x
_atom_site_fract_y
_atom_site_fract_z
_atom_site_occupancy
Tb1 Tb 0.250 0.000 0.168 1
Ho1 Ho 0.250 0.250 0.666 1
Er1 Er 0.250 0.750 0.666 1
```


Most stable structure - run two; separation to the second - 1.4 kJ/mol of atoms.